[1]
SrDyCo after structural relaxation. Source: the Open Quantum Materials Database, functional PBE.

Properties
The calculation puts the total magnetic moment at 0.00 μB per formula unit. The volume comes out at 81.9 Å³/f.u. For the electronic total energy, the calculation gives -4.151 eV/atom.

Lattice parameters (Å, degrees): 4.874 4.874 4.874 60.00 60.00 60.00
Fractional coordinates of all 3 atoms:
Co 0.000 0.000 0.000
Dy 0.250 0.250 0.250
Sr 0.750 0.750 0.750


[2]
TbDyCo4 after structural relaxation. Source: the Open Quantum Materials Database, functional PBE.

Properties
The calculation puts the total magnetic moment at 3.71 μB per formula unit. The volume comes out at 91.1 Å³/f.u. For the electronic total energy, the calculation gives -6.466 eV/atom. Its energy of formation from the pure elements is -0.190 eV per atom.

Lattice parameters (Å, degrees): 5.051 5.051 5.051 60.00 60.00 60.00
Last column: magnetic moment on the atom in μB.
Fractional coordinates of all 6 atoms:
Co 0.625 0.625 0.125  1.24
Co 0.125 0.625 0.625  0.84
Co 0.625 0.625 0.625  1.18
Co 0.625 0.125 0.625  1.19
Dy 0.000 0.000 0.000  -0.33
Tb 0.250 0.250 0.250  -0.31


[3]
TbDyCo after structural relaxation. Source: the Open Quantum Materials Database, functional PBE.

Properties
The calculation puts the total magnetic moment at 0.01 μB per formula unit. As for the polymorph energy (0 for the lowest one): 71.4 kJ per mole of atoms. The volume comes out at 72.7 Å³/f.u. For the electronic total energy, the calculation gives -4.654 eV/atom. Its energy of formation from the pure elements is 0.792 eV per atom.

Lattice parameters (Å, degrees): 4.684 4.684 4.684 60.00 60.00 60.00
Fractional coordinates of all 3 atoms:
Co 0.250 0.250 0.250
Dy 0.000 0.000 0.000
Tb 0.750 0.750 0.750


[4]
TbDyCo after structural relaxation. Source: the Open Quantum Materials Database, functional PBE.

Properties
The calculation puts the total magnetic moment at 0.00 μB per formula unit. As for the polymorph energy (0 for the lowest one): 0.0 kJ per mole of atoms. The volume comes out at 77.5 Å³/f.u. For the electronic total energy, the calculation gives -5.394 eV/atom. Its energy of formation from the pure elements is 0.051 eV per atom.

Lattice parameters (Å, degrees): 4.767 4.767 6.820 90.00 90.00 90.00
Fractional coordinates of all 6 atoms:
Co 0.000 0.500 0.000
Co 0.500 0.000 0.500
Dy 0.500 0.500 0.000
Dy 0.500 0.500 0.500
Tb 0.000 0.000 0.250
Tb 0.000 0.000 0.750


[5]
TbDyTlCo2 after structural relaxation. Source: the Open Quantum Materials Database, functional PBE.

Properties
The calculation puts the total magnetic moment at 1.35 μB per formula unit. The volume comes out at 103.5 Å³/f.u. For the electronic total energy, the calculation gives -5.448 eV/atom.

Lattice parameters (Å, degrees): 3.812 7.335 7.335 30.30 90.00 90.00
Last column: magnetic moment on the atom in μB.
Fractional coordinates of all 5 atoms:
Co 0.500 0.206 0.206  0.87
Co 0.500 0.794 0.794  0.88
Dy 0.000 0.360 0.360  -0.14
Tb 0.000 0.640 0.640  -0.14
Tl 0.500 0.000 0.000  -0.01


[6]
Dy7Co2Te2 after structural relaxation. Source: the Open Quantum Materials Database, functional PBE.

Properties
The calculation puts the total magnetic moment at 0.03 μB per formula unit. The volume comes out at 284.8 Å³/f.u. For the electronic total energy, the calculation gives -5.395 eV/atom.

Lattice parameters (Å, degrees): 9.360 9.360 9.360 156.37 66.18 119.18
Fractional coordinates of all 11 atoms:
Co 0.670 0.407 0.263
Co 0.144 0.407 0.737
Dy 0.894 0.745 0.149
Dy 0.283 0.098 0.185
Dy 0.261 0.895 0.366
Dy 0.975 0.475 0.500
Dy 0.529 0.895 0.634
Dy 0.913 0.098 0.815
Dy 0.596 0.745 0.851
Te 0.241 0.241 0.000
Te 0.640 0.140 0.500